Version A
# TcHIrN, optimized geometry, DFT PBE
data_TcHIrN
_chemical_formula_sum 'Tc2 H2 Ir2 N2'
_cell_length_a 2.807
_cell_length_b 3.011
_cell_length_c 10.150
_cell_angle_alpha 90.00
_cell_angle_beta 90.00
_cell_angle_gamma 90.00
_symmetry_space_group_name_H-M 'P 1'
_symmetry_Int_Tables_number 1
loop_
_symmetry_equiv_pos_as_xyz
'x,y,z'
loop_
_atom_site_label
_atom_site_type_symbol
_atom_site_fract_x
_atom_site_fract_y
_atom_site_fract_z
Ir1 Ir 0.000 0.000 0.454
Ir2 Ir 0.000 0.500 0.954
Tc1 Tc 0.500 0.500 0.624
Tc2 Tc 0.500 0.000 0.124
N1 N 0.000 0.500 0.766
N2 N 0.000 0.000 0.266
H1 H 0.500 0.500 0.209
H2 H 0.500 0.000 0.709
# * symmetry: No. 38

---

Version B
# TcHIrN, optimized geometry, DFT PBE
data_TcHIrN
_chemical_formula_sum 'Tc2 H2 Ir2 N2'
_cell_length_a 7.156
_cell_length_b 2.751
_cell_length_c 4.784
_cell_angle_alpha 90.00
_cell_angle_beta 103.68
_cell_angle_gamma 90.00
_symmetry_space_group_name_H-M 'P 1'
_symmetry_Int_Tables_number 1
loop_
_symmetry_equiv_pos_as_xyz
'x,y,z'
loop_
_atom_site_label
_atom_site_type_symbol
_atom_site_fract_x
_atom_site_fract_y
_atom_site_fract_z
N1 N 0.146 0.500 0.772
N2 N 0.146 0.000 0.272
Tc1 Tc 0.323 0.000 0.002
Tc2 Tc 0.323 0.500 0.502
Ir1 Ir 0.637 0.000 0.447
Ir2 Ir 0.637 0.500 0.947
H1 H 0.997 0.500 0.719
H2 H 0.997 0.000 0.219
# * symmetry: No. 8

---

The structure with the greatest stability is version B.

---

Version A
# TcHIrN, optimized geometry, DFT PBE
data_TcHIrN
_chemical_formula_sum 'Tc1 H1 Ir1 N1'
_cell_length_a 2.847
_cell_length_b 2.847
_cell_length_c 5.622
_cell_angle_alpha 90.00
_cell_angle_beta 90.00
_cell_angle_gamma 120.00
_symmetry_space_group_name_H-M 'P 1'
_symmetry_Int_Tables_number 1
loop_
_symmetry_equiv_pos_as_xyz
'x,y,z'
loop_
_atom_site_label
_atom_site_type_symbol
_atom_site_fract_x
_atom_site_fract_y
_atom_site_fract_z
N1 N 0.667 0.333 0.135
H1 H 0.333 0.667 0.867
Tc1 Tc 0.333 0.667 0.352
Ir1 Ir 0.667 0.333 0.751
# * symmetry: No. 156

---

Version B
# TcHIrN, optimized geometry, DFT PBE
data_TcHIrN
_chemical_formula_sum 'Tc1 H1 Ir1 N1'
_cell_length_a 2.778
_cell_length_b 2.920
_cell_length_c 5.013
_cell_angle_alpha 79.79
_cell_angle_beta 89.71
_cell_angle_gamma 89.63
_symmetry_space_group_name_H-M 'P 1'
_symmetry_Int_Tables_number 1
loop_
_symmetry_equiv_pos_as_xyz
'x,y,z'
loop_
_atom_site_label
_atom_site_type_symbol
_atom_site_fract_x
_atom_site_fract_y
_atom_site_fract_z
Tc1 Tc 0.245 0.129 0.796
Ir1 Ir 0.745 0.957 0.274
N1 N 0.753 0.677 0.675
H1 H 0.483 0.490 0.151
# * symmetry: No. 1

---

The structure with the greatest stability is version A.

---

Version A
# TcHIrN, optimized geometry, DFT PBE
data_TcHIrN
_chemical_formula_sum 'Tc1 H1 Ir1 N1'
_cell_length_a 2.766
_cell_length_b 2.766
_cell_length_c 7.061
_cell_angle_alpha 82.09
_cell_angle_beta 81.25
_cell_angle_gamma 60.00
_symmetry_space_group_name_H-M 'P 1'
_symmetry_Int_Tables_number 1
loop_
_symmetry_equiv_pos_as_xyz
'x,y,z'
loop_
_atom_site_label
_atom_site_type_symbol
_atom_site_fract_x
_atom_site_fract_y
_atom_site_fract_z
H1 H 0.397 0.179 0.998
N1 N 0.354 0.147 0.148
Ir1 Ir 0.217 0.046 0.634
Tc1 Tc 0.971 0.777 0.324
# * symmetry: No. 1

---

Version B
# TcHIrN, optimized geometry, DFT PBE
data_TcHIrN
_chemical_formula_sum 'Tc1 H1 Ir1 N1'
_cell_length_a 2.685
_cell_length_b 2.685
_cell_length_c 6.502
_cell_angle_alpha 101.82
_cell_angle_beta 101.62
_cell_angle_gamma 90.00
_symmetry_space_group_name_H-M 'P 1'
_symmetry_Int_Tables_number 1
loop_
_symmetry_equiv_pos_as_xyz
'x,y,z'
loop_
_atom_site_label
_atom_site_type_symbol
_atom_site_fract_x
_atom_site_fract_y
_atom_site_fract_z
N1 N 0.870 0.903 0.395
Ir1 Ir 0.638 0.668 0.921
H1 H 0.952 0.986 0.562
Tc1 Tc 0.287 0.320 0.227
# * symmetry: No. 1

---

Version C
# TcHIrN, optimized geometry, DFT PBE
data_TcHIrN
_chemical_formula_sum 'Tc2 H2 Ir2 N2'
_cell_length_a 4.912
_cell_length_b 2.801
_cell_length_c 6.251
_cell_angle_alpha 90.00
_cell_angle_beta 97.76
_cell_angle_gamma 90.00
_symmetry_space_group_name_H-M 'P 1'
_symmetry_Int_Tables_number 1
loop_
_symmetry_equiv_pos_as_xyz
'x,y,z'
loop_
_atom_site_label
_atom_site_type_symbol
_atom_site_fract_x
_atom_site_fract_y
_atom_site_fract_z
H1 H 0.776 0.500 0.869
H2 H 0.776 0.000 0.369
Ir1 Ir 0.761 0.500 0.599
Ir2 Ir 0.761 0.000 0.099
Tc1 Tc 0.219 0.000 0.673
Tc2 Tc 0.219 0.500 0.173
N1 N 0.349 0.000 0.980
N2 N 0.349 0.500 0.480
# * symmetry: No. 8

---

Version D
# TcHIrN, optimized geometry, DFT PBE
data_TcHIrN
_chemical_formula_sum 'Tc1 H1 Ir1 N1'
_cell_length_a 2.856
_cell_length_b 2.787
_cell_length_c 5.483
_cell_angle_alpha 90.00
_cell_angle_beta 103.57
_cell_angle_gamma 90.00
_symmetry_space_group_name_H-M 'P 1'
_symmetry_Int_Tables_number 1
loop_
_symmetry_equiv_pos_as_xyz
'x,y,z'
loop_
_atom_site_label
_atom_site_type_symbol
_atom_site_fract_x
_atom_site_fract_y
_atom_site_fract_z
Tc1 Tc 0.985 0.500 0.796
H1 H 0.240 0.000 0.476
N1 N 0.894 0.000 0.508
Ir1 Ir 0.627 0.000 0.116
# * symmetry: No. 6

---

The structure with the greatest stability is version A.

---

Version A
# Na3HIr, optimized geometry, DFT PBE
data_Na3HIr
_chemical_formula_sum 'Na3 H1 Ir1'
_cell_length_a 5.548
_cell_length_b 5.548
_cell_length_c 5.548
_cell_angle_alpha 90.00
_cell_angle_beta 90.00
_cell_angle_gamma 90.00
_symmetry_space_group_name_H-M 'P 1'
_symmetry_Int_Tables_number 1
loop_
_symmetry_equiv_pos_as_xyz
'x,y,z'
loop_
_atom_site_label
_atom_site_type_symbol
_atom_site_fract_x
_atom_site_fract_y
_atom_site_fract_z
Na1 Na 0.500 0.000 0.000
Na2 Na 0.000 0.000 0.500
Na3 Na 0.000 0.500 0.000
H1 H 0.500 0.500 0.500
Ir1 Ir 0.000 0.000 0.000
# * symmetry: No. 221

---

Version B
# Na3HIr, optimized geometry, DFT PBE
data_Na3HIr
_chemical_formula_sum 'Na3 H1 Ir1'
_cell_length_a 4.528
_cell_length_b 4.528
_cell_length_c 4.528
_cell_angle_alpha 90.00
_cell_angle_beta 90.00
_cell_angle_gamma 90.00
_symmetry_space_group_name_H-M 'P 1'
_symmetry_Int_Tables_number 1
loop_
_symmetry_equiv_pos_as_xyz
'x,y,z'
loop_
_atom_site_label
_atom_site_type_symbol
_atom_site_fract_x
_atom_site_fract_y
_atom_site_fract_z
Na1 Na 0.000 0.000 0.500
Na2 Na 0.500 0.000 0.000
Na3 Na 0.000 0.500 0.000
H1 H 0.000 0.000 0.000
Ir1 Ir 0.500 0.500 0.500
# * symmetry: No. 221

---

The structure with the greatest stability is version B.

---

Version A
# NaHIr3, optimized geometry, DFT PBE
data_NaHIr3
_chemical_formula_sum 'Na1 H1 Ir3'
_cell_length_a 3.984
_cell_length_b 3.984
_cell_length_c 3.984
_cell_angle_alpha 90.00
_cell_angle_beta 90.00
_cell_angle_gamma 90.00
_symmetry_space_group_name_H-M 'P 1'
_symmetry_Int_Tables_number 1
loop_
_symmetry_equiv_pos_as_xyz
'x,y,z'
loop_
_atom_site_label
_atom_site_type_symbol
_atom_site_fract_x
_atom_site_fract_y
_atom_site_fract_z
Na1 Na 0.500 0.500 0.500
Ir1 Ir 0.000 0.000 0.500
Ir2 Ir 0.500 0.000 0.000
Ir3 Ir 0.000 0.500 0.000
H1 H 0.000 0.000 0.000
# * symmetry: No. 221

---

Version B
# NaHIr3, optimized geometry, DFT PBE
data_NaHIr3
_chemical_formula_sum 'Na1 H1 Ir3'
_cell_length_a 4.550
_cell_length_b 4.550
_cell_length_c 4.550
_cell_angle_alpha 90.00
_cell_angle_beta 90.00
_cell_angle_gamma 90.00
_symmetry_space_group_name_H-M 'P 1'
_symmetry_Int_Tables_number 1
loop_
_symmetry_equiv_pos_as_xyz
'x,y,z'
loop_
_atom_site_label
_atom_site_type_symbol
_atom_site_fract_x
_atom_site_fract_y
_atom_site_fract_z
H1 H 0.500 0.500 0.500
Ir1 Ir 0.000 0.000 0.500
Ir2 Ir 0.000 0.500 0.000
Ir3 Ir 0.500 0.000 0.000
Na1 Na 0.000 0.000 0.000
# * symmetry: No. 221

---

The structure with the greatest stability is version A.

---

Version A
# NaH4Ir, optimized geometry, DFT PBE
data_NaH4Ir
_chemical_formula_sum 'Na2 H8 Ir2'
_cell_length_a 5.178
_cell_length_b 5.178
_cell_length_c 5.178
_cell_angle_alpha 87.02
_cell_angle_beta 61.71
_cell_angle_gamma 118.29
_symmetry_space_group_name_H-M 'P 1'
_symmetry_Int_Tables_number 1
loop_
_symmetry_equiv_pos_as_xyz
'x,y,z'
loop_
_atom_site_label
_atom_site_type_symbol
_atom_site_fract_x
_atom_site_fract_y
_atom_site_fract_z
H1 H 0.331 0.315 0.016
H2 H 0.169 0.234 0.597
H3 H 0.669 0.016 0.315
H4 H 0.831 0.234 0.935
H5 H 0.669 0.653 0.016
H6 H 0.831 0.597 0.234
H7 H 0.169 0.935 0.234
H8 H 0.331 0.016 0.653
Ir1 Ir 0.500 0.250 0.250
Ir2 Ir 0.000 0.000 0.000
Na1 Na 0.500 0.750 0.750
Na2 Na 0.000 0.500 0.500
# * symmetry: No. 141

---

Version B
# NaH4Ir, optimized geometry, DFT PBE
data_NaH4Ir
_chemical_formula_sum 'Na2 H8 Ir2'
_cell_length_a 4.433
_cell_length_b 4.366
_cell_length_c 5.293
_cell_angle_alpha 90.00
_cell_angle_beta 93.54
_cell_angle_gamma 90.00
_symmetry_space_group_name_H-M 'P 1'
_symmetry_Int_Tables_number 1
loop_
_symmetry_equiv_pos_as_xyz
'x,y,z'
loop_
_atom_site_label
_atom_site_type_symbol
_atom_site_fract_x
_atom_site_fract_y
_atom_site_fract_z
Ir1 Ir 0.500 0.000 0.500
Ir2 Ir 0.000 0.500 0.500
H1 H 0.318 0.329 0.390
H2 H 0.025 0.455 0.814
H3 H 0.525 0.045 0.814
H4 H 0.475 0.955 0.186
H5 H 0.182 0.829 0.610
H6 H 0.682 0.671 0.610
H7 H 0.818 0.171 0.390
H8 H 0.975 0.545 0.186
Na1 Na 0.000 0.000 0.000
Na2 Na 0.500 0.500 0.000
# * symmetry: No. 14

---

The structure with the greatest stability is version B.